No. 1
# AcGa2GeOs2 | the Alexandria database | PBE | optimized geometry
# * total energy: -36.89 eV per cell
# * D(E_F): 0.821 states/eV/atom
# * volume: 21.08 A^3/atom
data_AcGa2GeOs2
_chemical_formula_sum 'Ac1 Ga2 Ge1 Os2'
_cell_length_a 4.613
_cell_length_b 4.613
_cell_length_c 5.945
_cell_angle_alpha 90.00
_cell_angle_beta 90.00
_cell_angle_gamma 90.00
_space_group_name_H-M_alt 'P 4/m m m'
_space_group_IT_number 123
_space_group_name_Hall '-P 4 2'
loop_
_atom_site_label
_atom_site_type_symbol
_atom_site_fract_x
_atom_site_fract_y
_atom_site_fract_z
_atom_site_occupancy
Ac1 Ac 0.000 0.000 0.000 1
Ga1 Ga 0.500 0.500 0.243 1
Ge1 Ge 0.000 0.000 0.500 1
Os1 Os 0.000 0.500 0.500 1

No. 2
# AcPaGaGe | the Alexandria database | PBE | optimized geometry
# * total energy: -87.77 eV per cell
# * D(E_F): 1.861 states/eV/atom
# * volume: 25.96 A^3/atom
data_AcPaGaGe
_chemical_formula_sum 'Ac4 Pa4 Ga4 Ge4'
_cell_length_a 7.462
_cell_length_b 7.462
_cell_length_c 7.462
_cell_angle_alpha 90.00
_cell_angle_beta 90.00
_cell_angle_gamma 90.00
_space_group_name_H-M_alt 'F -4 3 m'
_space_group_IT_number 216
_space_group_name_Hall 'F -4 2 3'
loop_
_atom_site_label
_atom_site_type_symbol
_atom_site_fract_x
_atom_site_fract_y
_atom_site_fract_z
_atom_site_occupancy
Ac1 Ac 0.000 0.000 0.000 1
Pa1 Pa 0.000 0.000 0.500 1
Ga1 Ga 0.250 0.250 0.250 1
Ge1 Ge 0.250 0.250 0.750 1

No. 3
# Ac2GaGePb | the Alexandria database | PBE | optimized geometry
# * total energy: -44.64 eV per cell
# * D(E_F): 0.491 states/eV/atom
# * volume: 32.64 A^3/atom
data_Ac2GaGePb
_chemical_formula_sum 'Ac4 Ga2 Ge2 Pb2'
_cell_length_a 7.500
_cell_length_b 4.618
_cell_length_c 9.741
_cell_angle_alpha 90.00
_cell_angle_beta 104.66
_cell_angle_gamma 90.00
_space_group_name_H-M_alt 'P 1 21/m 1'
_space_group_IT_number 11
loop_
_space_group_symop_operation_xyz
'x,y,z'
'-x,-y,-z'
'-x,y+1/2,-z'
'x,-y+1/2,z'
loop_
_atom_site_label
_atom_site_type_symbol
_atom_site_fract_x
_atom_site_fract_y
_atom_site_fract_z
_atom_site_occupancy
Ac1 Ac 0.218 0.250 0.412 1
Ac2 Ac 0.256 0.250 0.986 1
Ga1 Ga 0.476 0.750 0.268 1
Ge1 Ge 0.143 0.750 0.177 1
Pb1 Pb 0.294 0.750 0.705 1

No. 4
# AcGaGe2Pd | the Alexandria database | PBE | optimized geometry
# * total energy: -49.47 eV per cell
# * D(E_F): 0.379 states/eV/atom
# * volume: 21.38 A^3/atom
data_AcGaGe2Pd
_chemical_formula_sum 'Ac2 Ga2 Ge4 Pd2'
_cell_length_a 4.539
_cell_length_b 4.539
_cell_length_c 10.373
_cell_angle_alpha 90.00
_cell_angle_beta 90.00
_cell_angle_gamma 90.00
_space_group_name_H-M_alt 'I -4 m 2'
_space_group_IT_number 119
_space_group_name_Hall 'I -4 -2'
loop_
_atom_site_label
_atom_site_type_symbol
_atom_site_fract_x
_atom_site_fract_y
_atom_site_fract_z
_atom_site_occupancy
Ac1 Ac 0.000 0.000 0.000 1
Ga1 Ga 0.000 0.500 0.750 1
Ge1 Ge 0.000 0.000 0.376 1
Pd1 Pd 0.000 0.500 0.250 1

No. 5
# AcGaGePd3 | the Alexandria database | PBE | optimized geometry
# * total energy: -125.37 eV per cell
# * D(E_F): 0.254 states/eV/atom
# * volume: 20.98 A^3/atom
data_AcGaGePd3
_chemical_formula_sum 'Ac4 Ga4 Ge4 Pd12'
_cell_length_a 6.755
_cell_length_b 12.302
_cell_length_c 6.060
_cell_angle_alpha 90.00
_cell_angle_beta 90.00
_cell_angle_gamma 90.00
_space_group_name_H-M_alt 'C m c m'
_space_group_IT_number 63
_space_group_name_Hall '-C 2c 2'
loop_
_atom_site_label
_atom_site_type_symbol
_atom_site_fract_x
_atom_site_fract_y
_atom_site_fract_z
_atom_site_occupancy
Ac1 Ac 0.000 0.214 0.250 1
Ga1 Ga 0.000 0.475 0.250 1
Ge1 Ge 0.000 0.119 0.750 1
Pd1 Pd 0.000 0.321 0.750 1
Pd2 Pd 0.210 0.000 0.000 1

No. 6
# Ac2GaGePd6 | the Alexandria database | PBE | optimized geometry
# * total energy: -105.44 eV per cell
# * D(E_F): 0.815 states/eV/atom
# * volume: 22.18 A^3/atom
data_Ac2GaGePd6
_chemical_formula_sum 'Ac4 Ga2 Ge2 Pd12'
_cell_length_a 6.793
_cell_length_b 6.804
_cell_length_c 9.598
_cell_angle_alpha 90.00
_cell_angle_beta 90.00
_cell_angle_gamma 90.00
_space_group_name_H-M_alt 'I m m m'
_space_group_IT_number 71
_space_group_name_Hall '-I 2 2'
loop_
_atom_site_label
_atom_site_type_symbol
_atom_site_fract_x
_atom_site_fract_y
_atom_site_fract_z
_atom_site_occupancy
Ac1 Ac 0.000 0.000 0.250 1
Ga1 Ga 0.000 0.500 0.000 1
Ge1 Ge 0.000 0.500 0.500 1
Pd1 Pd 0.000 0.500 0.251 1
Pd2 Pd 0.249 0.251 0.500 1

Look up the volume of the fourth one.
21.38 A^3/atom